Crystalline PuHfPa2 at its relaxed geometry, computed with GGA-PBE.

Values from the calculation:
As for the space-group type: P4/mmm. The value obtained for the uncorrected energy is -10.696 eV/atom. Its crystal system is tetragonal.

```
PuHfPa2
1.0
3.120 0.000 0.000
0.000 3.120 0.000
0.000 0.000 9.785
Pu Pa Hf
1 2 1
Direct
0.500 0.500 0.000 Pu
0.000 0.000 0.752 Pa
0.000 0.000 0.248 Pa
0.500 0.500 0.500 Hf
```

---

Crystalline La3GaO at its relaxed geometry, computed with GGA-PBE.

Values from the calculation:
As for the space-group type: P1. The value obtained for the uncorrected formation energy is -1.31 eV/atom. The value obtained for the uncorrected energy is -5.865 eV/atom. Its crystal system is triclinic.

```
La3GaO
1.0
6.781 -0.009 -0.006
-1.299 7.242 -0.004
-1.238 -4.188 5.943
La Ga O
6 2 2
Direct
0.102 0.505 0.203 La
0.181 0.967 0.057 La
0.106 0.361 0.623 La
0.623 0.548 0.550 La
0.534 0.090 0.695 La
0.631 0.708 0.133 La
0.032 0.928 0.615 Ga
0.702 0.143 0.154 Ga
0.472 0.413 0.741 O
0.463 0.712 0.385 O
```